First-principles (PBE) data for Mg2CoSiAs4 after structural relaxation, as listed in OQMD via LeMat-Bulk.

a = 6.9047 Å, b = 6.9047 Å, c = 6.9047 Å
α = 130.38°, β = 130.38°, γ = 72.79°
Sites, in units of the cell vectors:
Mg  0.0000  0.0000  0.0000
Mg  0.7500  0.2500  0.5000
Co  0.2500  0.7500  0.5000
Si  0.5000  0.5000  0.0000
As  0.1721  0.1100  0.5383
As  0.3662  0.8279  0.9379
As  0.5717  0.6338  0.4617
As  0.8900  0.4283  0.0621

Calculated values
**Total moment**: 0.1 Bohr magnetons per cell
**Space group**: I-4 (82)
**Crystal system**: tetragonal
**Final energy**: -4.415 eV per atom